Record 1
VASP calculation (GGA-PBE) on AcLaDy2As4 after structural relaxation.

M_tot in μB/f.u.: 0.0
Crystal system: monoclinic
Formation enthalpy at 0 K in meV per atom: -1504
D(E_F) in states/eV/cell: 0.76

Unit cell a=4.2956 b=7.4343 c=7.4368 alpha=70.55 beta=90.00 gamma=90.00
Last column: nearest neighbours and their distance in Å.
Positions (direct):
As  0.5000  0.2334  0.7512  3 Dy 2.94-2.98, 2 La 3.09, 1 Ac 3.13
As  0.0000  0.7701  0.7389  3 Dy 2.94-2.98, 1 La 3.09, 2 Ac 3.13
Dy  0.5000  0.0000  0.5000  6 As 2.94
Ac  0.5000  0.5000  0.0000  6 As 3.13
Dy  0.0000  0.0000  0.0000  6 As 2.98
As  0.5000  0.7666  0.2488  3 Dy 2.94-2.98, 2 La 3.09, 1 Ac 3.13
La  0.0000  0.5000  0.5000  6 As 3.09
As  0.0000  0.2299  0.2611  3 Dy 2.94-2.98, 1 La 3.09, 2 Ac 3.13

Record 2
VASP calculation (GGA-PBE) on AcNdDy2As4 after structural relaxation.

M_tot in μB/f.u.: 0.0
Crystal system: monoclinic
Formation enthalpy at 0 K in meV per atom: -1484
D(E_F) in states/eV/cell: 0.85

Unit cell a=4.2706 b=7.3906 c=7.3981 alpha=70.57 beta=90.00 gamma=90.00
Last column: nearest neighbours and their distance in Å.
Positions (direct):
Dy  0.5000  0.0000  0.5000  6 As 2.93
Dy  0.0000  0.0000  0.0000  6 As 2.98
As  0.5000  0.2362  0.7486  3 Dy 2.93-2.98, 2 Nd 3.06, 1 Ac 3.11
As  0.0000  0.7688  0.7375  3 Dy 2.93-2.98, 1 Nd 3.06, 2 Ac 3.12
As  0.5000  0.7638  0.2514  3 Dy 2.93-2.98, 2 Nd 3.06, 1 Ac 3.11
Nd  0.0000  0.5000  0.5000  6 As 3.06
As  0.0000  0.2312  0.2625  3 Dy 2.93-2.98, 1 Nd 3.06, 2 Ac 3.12
Ac  0.5000  0.5000  0.0000  6 As 3.11-3.12

Record 3
VASP calculation (GGA-PBE) on AcDyNi2As2 after structural relaxation.

M_tot in μB/f.u.: 0.0
Crystal system: trigonal
Formation enthalpy at 0 K in meV per atom: -1017
D(E_F) in states/eV/cell: 2.40

Unit cell a=4.1516 b=4.1516 c=8.1479 alpha=90.00 beta=90.00 gamma=120.00
Last column: nearest neighbours and their distance in Å.
Positions (direct):
Ni  0.3333  0.6667  0.7302  3 As 2.40
Dy  0.0000  0.0000  0.5000  6 As 3.02, 6 Ni 3.04
Ni  0.6667  0.3333  0.2698  3 As 2.40
Ac  0.0000  0.0000  0.0000  6 Ni 3.25, 6 As 3.27
As  0.3333  0.6667  0.2738  3 Ni 2.40
As  0.6667  0.3333  0.7262  3 Ni 2.40

Record 4
VASP calculation (GGA-PBE) on Ac2DyAsO8 after structural relaxation.

M_tot in μB/f.u.: 2.0
Formation energy without anion corrections in eV per formula unit: -25.87
Crystal system: trigonal
D(E_F) in states/eV/cell: 0.29

Unit cell a=5.6446 b=5.6446 c=6.1941 alpha=90.00 beta=90.00 gamma=120.00
Last column: nearest neighbours and their distance in Å.
Positions (direct):
O  0.6667  0.3333  0.4879  1 Ac 2.16
Ac  0.3333  0.6667  0.8601  1 O 2.16
Ac  0.6667  0.3333  0.1399  1 O 2.16
O  0.8483  0.1517  0.8188  1 As 1.86
O  0.1517  0.8483  0.1812  1 As 1.86
As  0.0000  0.0000  0.0000  6 O 1.86
O  0.6965  0.8483  0.1812  1 As 1.86
O  0.1517  0.3035  0.1812  1 As 1.86
O  0.3035  0.1517  0.8188  1 As 1.86
O  0.8483  0.6965  0.8188  1 As 1.86
Dy  0.0000  0.0000  0.5000  6 O 2.47
O  0.3333  0.6667  0.5121  1 Ac 2.16

Record 5
VASP calculation (GGA-PBE) on AcDy2AsO8 after structural relaxation.

M_tot in μB/f.u.: 0.0
Formation energy without anion corrections in eV per formula unit: -29.72
Crystal system: monoclinic
D(E_F) in states/eV/cell: 5.51

Unit cell a=5.0693 b=4.3573 c=6.9309 alpha=71.58 beta=90.01 gamma=90.01
Last column: nearest neighbours and their distance in Å.
Positions (direct):
O  0.0002  0.6450  0.2516  1 As 1.93
O  0.5000  0.7590  0.4979  2 O 2.11-2.25, 2 Dy 2.24-2.29
Dy  0.5001  0.3653  0.7990  4 O 2.24-2.41
O  0.5000  0.2410  0.5021  2 O 2.11-2.25, 2 Dy 2.24-2.29
O  0.2625  0.8288  0.8836  1 As 1.83
O  0.7375  0.8284  0.8837  1 As 1.83
O  0.7375  0.1712  0.1164  1 As 1.83
O  0.9998  0.3550  0.7484  1 As 1.93
As  0.0000  0.0000  0.0000  6 O 1.83-1.93
Dy  0.4999  0.6347  0.2010  4 O 2.24-2.41
O  0.2625  0.1716  0.1163  1 As 1.83
Ac  0.0000  0.0000  0.5000  12 O 2.65-2.85

Record 6
VASP calculation (GGA-PBE) on AcDyAs2Pd2 after structural relaxation.

M_tot in μB/f.u.: 0.0
Crystal system: trigonal
Formation enthalpy at 0 K in meV per atom: -1188
D(E_F) in states/eV/cell: 0.77

Unit cell a=4.4233 b=4.4233 c=7.8670 alpha=90.00 beta=90.00 gamma=120.00
Last column: nearest neighbours and their distance in Å.
Positions (direct):
Ac  0.0000  0.0000  0.0000  6 As 3.31, 6 Pd 3.37
Dy  0.0000  0.0000  0.5000  6 Pd 3.08, 6 As 3.14
Pd  0.3333  0.6667  0.7197  3 As 2.56
As  0.6667  0.3333  0.7328  3 Pd 2.56
As  0.3333  0.6667  0.2672  3 Pd 2.56
Pd  0.6667  0.3333  0.2803  3 As 2.56